Entry from OQMD: crystalline YEr2Co2Ni7 at its relaxed geometry (PBE).

a b c (Å): 8.5600 8.5600 8.5600
angles (deg): 33.45 33.45 33.45
Last column: magnetic moment on the atom in μB.
Fractional coordinates of all 12 atoms:
Co: 0.3331 0.3331 0.3331  1.40
Co: 0.6669 0.6669 0.6669  1.40
Er: 0.1389 0.1389 0.1389  -0.10
Er: 0.8611 0.8611 0.8611  -0.10
Ni: 0.5827 0.5827 0.0810  0.23
Ni: 0.9190 0.4173 0.4174  0.24
Ni: 0.4173 0.9190 0.4174  0.26
Ni: 0.5000 0.5000 0.5000  0.03
Ni: 0.5827 0.0810 0.5826  0.26
Ni: 0.0810 0.5827 0.5826  0.24
Ni: 0.4173 0.4173 0.9190  0.23
Y: 0.0000 0.0000 0.0000  -0.09

Properties
Electronic total energy   -6.094 eV/atom
Space-group type   R-3m, No. 166
ΔE_f   -0.362 eV/atom